[1]
# Nd2DyMg GGA-PBE relaxed
data_Nd2DyMg
_chemical_formula_sum 'Nd6 Dy3 Mg3'
_cell_length_a 3.5717
_cell_length_b 3.5717
_cell_length_c 34.6212
_cell_angle_alpha 90.00
_cell_angle_beta 90.00
_cell_angle_gamma 120.00
_space_group_name_H-M_alt 'R 3 m'
_space_group_IT_number 160
_space_group_name_Hall 'R 3 -2"'
loop_
_atom_site_label
_atom_site_type_symbol
_atom_site_fract_x
_atom_site_fract_y
_atom_site_fract_z
Nd1 Nd 0.0000 0.0000 0.0000
Nd2 Nd 0.0000 0.0000 0.1639
Dy1 Dy 0.0000 0.0000 0.5823
Mg1 Mg 0.0000 0.0000 0.4153
# Energy above the most stable polymorph in this dataset = 71 meV per atom

[2]
# Nd4Dy4Mg GGA-PBE relaxed
data_Nd4Dy4Mg
_chemical_formula_sum 'Nd8 Dy8 Mg2'
_cell_length_a 10.7148
_cell_length_b 10.7148
_cell_length_c 5.0545
_cell_angle_alpha 90.00
_cell_angle_beta 90.00
_cell_angle_gamma 90.00
_space_group_name_H-M_alt 'I 4/m m m'
_space_group_IT_number 139
_space_group_name_Hall '-I 4 2'
loop_
_atom_site_label
_atom_site_type_symbol
_atom_site_fract_x
_atom_site_fract_y
_atom_site_fract_z
Nd1 Nd 0.1659 0.1659 0.0000
Dy1 Dy 0.0000 0.3348 0.5000
Mg1 Mg 0.0000 0.0000 0.5000
# E = -4.33 eV per atom